No. 1
# NaPm3Pa2N6

NaPm3Pa2N6 after structural relaxation (GGA-PBE, the Alexandria database).

Geometry as POSCAR:
```
NaPm3Pa2N6
1.0
7.6102 -1.7968 0.0000
7.6102 1.7968 0.0000
-1.7623 0.0000 6.9742
Na Pm Pa N
1 3 2 6
Direct
0.0000 0.0000 0.0000
0.0000 0.0000 0.5000
0.3386 0.3386 0.1608
0.6614 0.6614 0.8392
0.3367 0.3367 0.6759
0.6633 0.6633 0.3241
0.1727 0.1727 0.1087
0.1739 0.1739 0.5704
0.4826 0.4826 0.7224
0.5174 0.5174 0.2776
0.8261 0.8261 0.4296
0.8273 0.8273 0.8913
```

Output
Raw formation energy ... -1368 meV per atom

---

No. 2
# Na3PmPa2N6

Na3PmPa2N6 after structural relaxation (GGA-PBE, the Alexandria database).

Geometry as POSCAR:
```
Na3PmPa2N6
1.0
3.0365 -5.4878 0.0000
3.0365 5.4878 0.0000
-1.8518 0.0000 5.7417
Na Pm Pa N
3 1 2 6
Direct
0.0000 0.0000 0.0000
0.3315 0.6685 0.0000
0.6685 0.3315 0.0000
0.5000 0.5000 0.5000
0.1634 0.8366 0.5000
0.8366 0.1634 0.5000
0.0716 0.4187 0.3081
0.2126 0.2126 0.6946
0.4187 0.0716 0.3081
0.5813 0.9284 0.6919
0.7874 0.7874 0.3054
0.9284 0.5813 0.6919
```

Output
Raw formation energy ... -910 meV per atom

---

No. 3
# NaPmPa4N8

NaPmPa4N8 after structural relaxation (GGA-PBE, the Alexandria database).

Geometry as POSCAR:
```
NaPmPa4N8
1.0
3.5519 2.0507 5.3438
-3.5519 2.0507 5.3438
0.0000 -4.1014 5.3438
Na Pm Pa N
1 1 4 8
Direct
0.0000 0.0000 0.0000
0.3782 0.3782 0.3782
0.4957 0.9975 0.9975
0.6019 0.6019 0.6019
0.9975 0.4957 0.9975
0.9975 0.9975 0.4957
0.2259 0.7465 0.7465
0.2318 0.2318 0.2318
0.2625 0.2625 0.7878
0.2625 0.7878 0.2625
0.7465 0.2259 0.7465
0.7465 0.7465 0.2259
0.7511 0.7511 0.7511
0.7878 0.2625 0.2625
```

Output
Raw formation energy ... -1393 meV per atom

---

No. 4
# NaPa2PtN4

NaPa2PtN4 after structural relaxation (GGA-PBE, the Alexandria database).

Geometry as POSCAR:
```
NaPa2PtN4
1.0
-2.9021 2.9021 3.0911
2.9021 -2.9021 3.0911
2.9021 2.9021 -3.0911
Na Pa Pt N
1 2 1 4
Direct
0.0000 0.0000 0.0000
0.2500 0.7500 0.5000
0.7500 0.2500 0.5000
0.5000 0.5000 0.0000
0.2550 0.2550 0.5100
0.2550 0.7450 0.0000
0.7450 0.2550 0.0000
0.7450 0.7450 0.4900
```

Output
Raw formation energy ... -728 meV per atom

---

No. 5
# Na3Pu2PaN6

Na3Pu2PaN6 after structural relaxation (GGA-PBE, the Alexandria database).

Geometry as POSCAR:
```
Na3Pu2PaN6
1.0
7.6123 -1.7580 0.0000
7.6123 1.7580 0.0000
-1.4634 0.0000 6.7889
Na Pu Pa N
3 2 1 6
Direct
0.0000 0.0000 0.0000
0.3296 0.3296 0.6660
0.6704 0.6704 0.3340
0.3322 0.3322 0.1641
0.6678 0.6678 0.8359
0.0000 0.0000 0.5000
0.1536 0.1536 0.6260
0.1839 0.1839 0.0444
0.4833 0.4833 0.2835
0.5167 0.5167 0.7165
0.8161 0.8161 0.9556
0.8464 0.8464 0.3740
```

Output
Raw formation energy ... -928 meV per atom

---

No. 6
# Na3PuPa3N8

Na3PuPa3N8 after structural relaxation (GGA-PBE, the Alexandria database).

Geometry as POSCAR:
```
Na3PuPa3N8
1.0
3.5517 2.0506 5.6737
-3.5517 2.0506 5.6737
0.0000 -4.1011 5.6737
Na Pu Pa N
3 1 3 8
Direct
0.0000 0.5000 0.5000
0.5000 0.0000 0.5000
0.5000 0.5000 0.0000
0.5000 0.5000 0.5000
0.0000 0.0000 0.5000
0.0000 0.5000 0.0000
0.5000 0.0000 0.0000
0.2272 0.2272 0.2272
0.2386 0.7161 0.7161
0.2839 0.2839 0.7614
0.2839 0.7614 0.2839
0.7161 0.2386 0.7161
0.7161 0.7161 0.2386
0.7614 0.2839 0.2839
0.7728 0.7728 0.7728
```

Output
Raw formation energy ... -1101 meV per atom

---

No. 7
# Na2PuPa2N6

Na2PuPa2N6 after structural relaxation (GGA-PBE, the Alexandria database).

Geometry as POSCAR:
```
Na2PuPa2N6
1.0
3.0323 -5.3862 0.0000
3.0323 5.3862 0.0000
-1.6105 0.0000 5.7223
Na Pu Pa N
2 1 2 6
Direct
0.1592 0.8408 0.0000
0.8408 0.1592 0.0000
0.0000 0.0000 0.5000
0.3319 0.6681 0.5000
0.6681 0.3319 0.5000
0.0404 0.3791 0.6722
0.2483 0.2483 0.3313
0.3791 0.0404 0.6722
0.6209 0.9596 0.3278
0.7517 0.7517 0.6687
0.9596 0.6209 0.3278
```

Output
Raw formation energy ... -1040 meV per atom

---

No. 8
# NaPuPa2N5

NaPuPa2N5 after structural relaxation (GGA-PBE, the Alexandria database).

Geometry as POSCAR:
```
NaPuPa2N5
1.0
-3.3513 3.3513 6.2324
3.3513 -3.3513 6.2324
3.3513 3.3513 -6.2324
Na Pu Pa N
2 2 4 10
Direct
0.2500 0.2500 0.0000
0.7500 0.7500 0.0000
0.2500 0.7500 0.5000
0.7500 0.2500 0.5000
0.1790 0.6790 0.8579
0.3210 0.1790 0.5000
0.6790 0.8210 0.5000
0.8210 0.3210 0.1421
0.0000 0.0000 0.0000
0.0286 0.2394 0.5000
0.2394 0.7394 0.2108
0.2606 0.4714 0.5000
0.4714 0.9714 0.2108
0.5000 0.5000 0.0000
0.5286 0.0286 0.7892
0.7394 0.5286 0.5000
0.7606 0.2606 0.7892
0.9714 0.7606 0.5000
```

Output
Raw formation energy ... -1016 meV per atom

---

Question: What is the formula in the third record?
Answer: NaPmPa4N8